## Li2TlH6Ir (PBE)

Data for a relaxed structure of Li2TlH6Ir.

a = 6.7170 Å, b = 4.7677 Å, c = 4.7677 Å
α = 120.00°, β = 90.00°, γ = 90.00°
Last column: nearest neighbours and their distance in Å.
Element x y z (fractional)
Li 0.0517 0.3333 0.6667  3 H 1.96
Li 0.9483 0.6667 0.3333  3 H 1.96
Tl 0.5000 0.0000 0.0000  6 H 2.70
H 0.8492 0.1624 0.3248  1 Ir 1.68
H 0.8492 0.1624 0.8376  1 Ir 1.68
H 0.8492 0.6752 0.8376  1 Ir 1.68
H 0.1508 0.8376 0.1624  1 Ir 1.68
H 0.1508 0.3248 0.1624  1 Ir 1.68
H 0.1508 0.8376 0.6752  1 Ir 1.68
Ir 0.0000 0.0000 0.0000  6 H 1.68

Values from the calculation:
* crystal system: trigonal

## LiTmH6Ir2 (PBE)

Data for a relaxed structure of LiTmH6Ir2.

a = 5.9137 Å, b = 5.9137 Å, c = 5.3278 Å
α = 99.98°, β = 99.98°, γ = 98.07°
Last column: nearest neighbours and their distance in Å.
Element x y z (fractional)
Li 0.5943 0.4057 0.2500  6 H 1.91-2.06
Li 0.4057 0.5943 0.7500  6 H 1.91-2.06
Tm 0.1702 0.8298 0.2500  10 H 2.28-2.43
Tm 0.8298 0.1702 0.7500  10 H 2.28-2.43
H 0.9074 0.4573 0.1313  1 Ir 1.62
H 0.5427 0.0926 0.3687  1 Ir 1.62
H 0.0926 0.5427 0.8687  1 Ir 1.62
H 0.4573 0.9074 0.6313  1 Ir 1.62
H 0.1708 0.1735 0.0661  2 Ir 1.76-1.81
H 0.8265 0.8292 0.4339  2 Ir 1.76-1.81
H 0.8292 0.8265 0.9339  2 Ir 1.76-1.81
H 0.1735 0.1708 0.5661  2 Ir 1.76-1.81
H 0.3136 0.5213 0.3788  1 Ir 1.67
H 0.4787 0.6864 0.1212  1 Ir 1.67
H 0.6864 0.4787 0.6212  1 Ir 1.67
H 0.5213 0.3136 0.8788  1 Ir 1.67
Ir 0.3290 0.0656 0.8213  3 H 1.62-1.76
Ir 0.9344 0.6710 0.6787  3 H 1.62-1.76
Ir 0.6710 0.9344 0.1787  3 H 1.62-1.76
Ir 0.0656 0.3290 0.3213  3 H 1.62-1.76

Values from the calculation:
* Fermi-level density of states: 0.04 states/eV/atom
* crystal system: monoclinic

## Li2YHIr (PBE)

Data for a relaxed structure of Li2YHIr.

a = 3.9508 Å, b = 3.9508 Å, c = 4.6825 Å
α = 90.00°, β = 90.00°, γ = 90.00°
Last column: nearest neighbours and their distance in Å.
Element x y z (fractional)
Y 0.0000 0.0000 0.5000  2 H 2.34
H 0.0000 0.0000 0.0000  4 Li 1.98
Ir 0.5000 0.5000 0.5000  4 Y 2.79, 8 Li 3.06
Li 0.0000 0.5000 0.0000  2 H 1.98
Li 0.5000 0.0000 0.0000  2 H 1.98

Values from the calculation:
* Fermi-level density of states: 0.15 states/eV/atom
* crystal system: tetragonal

## LiYH6Ir2 (PBE)

Data for a relaxed structure of LiYH6Ir2.

a = 5.9626 Å, b = 5.9626 Å, c = 5.3849 Å
α = 100.14°, β = 100.14°, γ = 98.08°
Last column: nearest neighbours and their distance in Å.
Element x y z (fractional)
Li 0.5951 0.4049 0.2500  6 H 1.92-2.09
Li 0.4049 0.5951 0.7500  6 H 1.92-2.09
Y 0.1696 0.8304 0.2500  10 H 2.32-2.45
Y 0.8304 0.1696 0.7500  10 H 2.32-2.45
H 0.9094 0.4553 0.1351  1 Ir 1.62
H 0.5447 0.0906 0.3649  1 Ir 1.62
H 0.0906 0.5447 0.8649  1 Ir 1.62
H 0.4553 0.9094 0.6351  1 Ir 1.62
H 0.1771 0.1801 0.0714  2 Ir 1.77-1.82
H 0.8199 0.8229 0.4286  2 Ir 1.77-1.82
H 0.8229 0.8199 0.9286  2 Ir 1.77-1.82
H 0.1801 0.1771 0.5714  2 Ir 1.77-1.82
H 0.3132 0.5189 0.3816  1 Ir 1.67
H 0.4811 0.6868 0.1184  1 Ir 1.67
H 0.6868 0.4811 0.6184  1 Ir 1.67
H 0.5189 0.3132 0.8816  1 Ir 1.67
Ir 0.3288 0.0665 0.8241  3 H 1.62-1.77
Ir 0.9335 0.6712 0.6759  3 H 1.62-1.77
Ir 0.6712 0.9335 0.1759  3 H 1.62-1.77
Ir 0.0665 0.3288 0.3241  3 H 1.62-1.77

Values from the calculation:
* Fermi-level density of states: 0.04 states/eV/atom
* crystal system: monoclinic

## LiYH8Ir2 (PBE)

Data for a relaxed structure of LiYH8Ir2.

a = 4.3433 Å, b = 4.5471 Å, c = 6.0947 Å
α = 67.47°, β = 69.13°, γ = 61.47°
Last column: nearest neighbours and their distance in Å.
Element x y z (fractional)
Li 0.0000 0.0000 0.0000  2 H 1.85
Y 0.5000 0.5000 0.5000  10 H 2.35-2.38
H 0.9355 0.4502 0.6787  1 Ir 1.67
H 0.7472 0.3963 0.1093  1 Ir 1.69, 1 Li 1.85
H 0.0645 0.5498 0.3213  1 Ir 1.67
H 0.2528 0.6037 0.8907  1 Ir 1.69, 1 Li 1.85
H 0.5913 0.0175 0.3119  1 Ir 1.64
H 0.4087 0.9825 0.6881  1 Ir 1.64
H 0.0794 0.0175 0.3119  1 Ir 1.64
H 0.9206 0.9825 0.6881  1 Ir 1.64
Ir 0.2904 0.2741 0.1452  4 H 1.64-1.69
Ir 0.7096 0.7259 0.8548  4 H 1.64-1.69

Values from the calculation:
* Fermi-level density of states: 0.05 states/eV/atom
* crystal system: monoclinic

## Li2ZnH6Ir (PBE)

Data for a relaxed structure of Li2ZnH6Ir.

a = 4.9568 Å, b = 4.9496 Å, c = 4.9242 Å
α = 120.23°, β = 120.29°, γ = 90.28°
Last column: nearest neighbours and their distance in Å.
Element x y z (fractional)
Li 0.7487 0.2509 0.5012  5 H 2.18-2.42
Li 0.2510 0.7498 0.4977  5 H 2.18-2.42
Zn 0.4998 0.5003 0.9996  6 H 1.81-1.89
H 0.8202 0.8273 0.1177  1 Ir 1.70, 1 Zn 1.89
H 0.7008 0.6972 0.5233  1 Ir 1.70, 1 Zn 1.86
H 0.1796 0.1735 0.8820  1 Ir 1.70, 1 Zn 1.89
H 0.7584 0.2430 0.9941  1 Ir 1.70, 1 Zn 1.81
H 0.2992 0.3038 0.4764  1 Ir 1.70, 1 Zn 1.86
H 0.2414 0.7578 0.0059  1 Ir 1.70, 1 Zn 1.81
Ir 0.9999 0.0004 0.9999  6 H 1.70

Values from the calculation:
* Fermi-level density of states: 0.10 states/eV/atom
* crystal system: triclinic

## Li2ZnHIr (PBE)

Data for a relaxed structure of Li2ZnHIr.

a = 3.7711 Å, b = 3.7711 Å, c = 3.8677 Å
α = 90.00°, β = 90.00°, γ = 90.00°
Last column: nearest neighbours and their distance in Å.
Element x y z (fractional)
H 0.0000 0.0000 0.0000  4 Li 1.89, 2 Ir 1.93
Zn 0.5000 0.5000 0.5000  4 Ir 2.67, 8 Li 2.70
Ir 0.0000 0.0000 0.5000  2 H 1.93
Li 0.0000 0.5000 0.0000  2 H 1.89
Li 0.5000 0.0000 0.0000  2 H 1.89

Values from the calculation:
* Fermi-level density of states: 0.28 states/eV/atom
* crystal system: tetragonal

## LiZrHIr2 (PBE)

Data for a relaxed structure of LiZrHIr2.

a = 4.1185 Å, b = 4.1185 Å, c = 3.7617 Å
α = 90.00°, β = 90.00°, γ = 90.00°
Last column: nearest neighbours and their distance in Å.
Element x y z (fractional)
H 0.0000 0.0000 0.0000  2 Li 1.88, 4 Ir 2.06
Ir 0.0000 0.5000 0.0000  2 H 2.06
Ir 0.5000 0.0000 0.0000  2 H 2.06
Zr 0.5000 0.5000 0.5000  8 Ir 2.79, 4 Li 2.91
Li 0.0000 0.0000 0.5000  2 H 1.88

Values from the calculation:
* Fermi-level density of states: 0.25 states/eV/atom
* crystal system: tetragonal

| no. | spin magnetization (μB/cell) | uncorrected energy (eV per cell) |
| --- | --- | --- |
| 1 | 0.000 | -37.68 |
| 2 | 0.000 | -96.78 |
| 3 | 0.000 | -24.42 |
| 4 | 0.000 | -100.65 |
| 5 | 0.000 | -56.69 |
| 6 | 0.000 | -36.35 |
| 7 | 0.000 | -18.63 |
| 8 | 0.000 | -33.95 |